The following is a PBE-GGA calculation of a relaxed structure of CaAsH3, from Alexandria.

Cell lengths 3.931, 3.931, 3.931 Å; angles 90.00, 90.00, 90.00 degrees
Space group Pm-3m (No. 221)
Symmetry-distinct sites (fractional):
Ca1 0.000 0.000 0.000
As1 0.500 0.500 0.500
H1 0.000 0.500 0.500

Computed properties:
* E: -3.19 eV/atom
* E above lowest polymorph: 0 meV per atom


The following is a PBE-GGA calculation of a relaxed structure of MnSnTe4, from Alexandria.

Cell lengths 6.886, 3.884, 7.260 Å; angles 90.00, 109.37, 90.00 degrees
Space group P2/m (No. 10)
Symmetry-distinct sites (fractional):
Mn1 0.000 0.000 0.000
Sn1 0.000 0.500 0.500
Te1 0.238 0.500 0.222
Te2 0.259 0.000 0.794

Computed properties:
* E: -4.43 eV/atom
* E_form (uncorrected): -0.9 eV per formula unit


The following is a PBE-GGA calculation of a relaxed structure of La3TbTc, from Alexandria.

Cell lengths 5.552, 5.552, 5.552 Å; angles 90.00, 90.00, 90.00 degrees
Space group Pm-3m (No. 221)
Symmetry-distinct sites (fractional):
La1 0.000 0.000 0.500
Tb1 0.500 0.500 0.500
Tc1 0.000 0.000 0.000

Computed properties:
* formation energy from the elements: 0.1012 eV per atom
* E: -5.85 eV/atom
* E above lowest polymorph: 113 meV per atom